(1)
Below is a relaxed structure of HgSb2SI, with properties calculated at the PBE level.

total moment = 0.0 μB per formula unit
calculated volume = 35.5 A^3/atom

Geometry as extended XYZ:
```
5
Lattice="5.630 0.000 0.000 0.000 5.630 0.000 0.000 0.000 5.597" Properties=species:S:1:pos:R:3 pbc="T T T"
Hg 0.000 0.000 0.000
Sb 0.000 2.815 0.000
Sb 2.815 0.000 0.000
S 2.815 2.815 2.798
I 0.000 0.000 2.798
```

---

(2)
Below is a relaxed structure of HgSb2SI, with properties calculated at the PBE level.

total moment = 0.6 μB per formula unit
calculated volume = 32.3 A^3/atom

Geometry as extended XYZ:
```
5
Lattice="5.305 0.000 0.000 0.000 5.305 0.000 0.000 0.000 5.731" Properties=species:S:1:pos:R:3 pbc="T T T"
Hg 0.000 0.000 0.000
Sb 0.000 2.652 2.866
Sb 2.652 0.000 2.866
S 2.652 2.652 2.866
I 2.652 2.652 0.000
```

---

(3)
Below is a relaxed structure of HgSb2S2I2, with properties calculated at the PBE level.

total moment = 0.0 μB per formula unit
calculated volume = 36.4 A^3/atom

Geometry as extended XYZ:
```
7
Lattice="6.228 0.000 0.000 2.477 6.005 0.000 0.408 1.015 6.814" Properties=species:S:1:pos:R:3 pbc="T T T"
Hg 0.000 0.000 0.000
Sb 3.438 3.680 1.339
Sb 5.675 3.341 5.474
S 3.376 3.097 6.298
S 5.736 3.923 0.516
I 4.241 6.471 3.402
I 4.871 0.550 3.412
```

---

(4)
Below is a relaxed structure of ScHgSI2, with properties calculated at the PBE level.

total moment = 0.0 μB per formula unit
calculated volume = 36.8 A^3/atom

Geometry as extended XYZ:
```
5
Lattice="6.263 0.000 0.000 0.000 6.263 0.000 0.000 0.000 4.687" Properties=species:S:1:pos:R:3 pbc="T T T"
Sc 0.000 0.000 0.000
Hg 3.132 3.132 0.000
S 0.000 0.000 2.344
I 0.000 3.132 2.344
I 3.132 0.000 2.344
```

---

Calculated uncorrected formation energy in order - 0.973, 0.504, -0.115, -0.189 eV per atom